1.
The following is a DFT calculation (PBE) of a geometry-optimized ScZnPO2 structure.

Results
Raw formation energy, eV/atom: -0.912
Energy above the most stable polymorph in this dataset, meV per atom: 0
Final energy, hartree per atom: -0.20205

Lattice parameters (Å, degrees): 3.940 3.940 5.684 90.00 90.00 90.00
Last column: magnetic moment on the atom in μB.
Positions (direct):
Zn (0.500, 0.500, 0.500)  0.01
Sc (0.000, 0.000, 0.000)  -0.04
P (0.000, 0.000, 0.500)  0.12
O (0.500, 0.000, 0.000)  0.45
O (0.000, 0.500, 0.000)  0.45

***

2.
The following is a DFT calculation (PBE) of a geometry-optimized Zr7Bi2HN2 structure.

Results
Final energy, hartree per atom: -0.28279

Lattice parameters (Å, degrees): 4.493 4.493 12.309 78.87 78.87 89.84
Positions (direct):
Zr (0.294, 0.294, 0.370)
Zr (0.500, 0.500, 0.000)
Zr (0.404, 0.907, 0.173)
Zr (0.706, 0.706, 0.630)
Zr (0.907, 0.404, 0.173)
Zr (0.093, 0.596, 0.827)
Zr (0.596, 0.093, 0.827)
Bi (0.799, 0.799, 0.367)
Bi (0.201, 0.201, 0.633)
N (0.401, 0.401, 0.186)
N (0.599, 0.599, 0.814)
H (0.000, 0.000, 0.000)

***

3.
The following is a DFT calculation (PBE) of a geometry-optimized Nd4Al2N structure.

Results
Raw formation energy, eV/atom: -0.501
Final energy, hartree per atom: -0.20155

Lattice parameters (Å, degrees): 4.937 4.937 8.602 106.68 106.68 90.00
Positions (direct):
Nd (0.000, 0.500, 0.000)
Nd (0.500, 0.000, 0.000)
Nd (0.166, 0.166, 0.332)
Nd (0.834, 0.834, 0.668)
Al (0.368, 0.368, 0.736)
Al (0.632, 0.632, 0.264)
N (0.000, 0.000, 0.000)

***

4.
The following is a DFT calculation (PBE) of a geometry-optimized Pr3Al2Zn structure.

Results
Final energy, hartree per atom: -0.15334
E_form, meV per atom: -323

Lattice parameters (Å, degrees): 5.307 5.307 12.991 90.00 90.00 120.00
Positions (direct):
Pr (0.667, 0.333, 0.584)
Pr (0.333, 0.667, 0.914)
Pr (0.667, 0.333, 0.086)
Pr (0.000, 0.000, 0.749)
Pr (0.000, 0.000, 0.251)
Pr (0.333, 0.667, 0.416)
Al (0.000, 0.000, 0.000)
Al (0.333, 0.667, 0.167)
Al (0.000, 0.000, 0.500)
Al (0.667, 0.333, 0.833)
Zn (0.667, 0.333, 0.335)
Zn (0.333, 0.667, 0.665)

***

5.
The following is a DFT calculation (PBE) of a geometry-optimized Tc2HgRu structure.

Results
Final energy, hartree per atom: -0.25424
E_form, meV per atom: 659

Lattice parameters (Å, degrees): 4.485 4.485 4.485 60.00 60.00 60.00
Last column: magnetic moment on the atom in μB.
Positions (direct):
Tc (0.000, 0.000, 0.000)  0.59
Tc (0.250, 0.250, 0.250)  -0.13
Ru (0.750, 0.750, 0.750)  0.03
Hg (0.500, 0.500, 0.500)  0.00

***

6.
The following is a DFT calculation (PBE) of a geometry-optimized CdAgP2O structure.

Results
Raw formation energy, eV/atom: 0.950
Energy above the most stable polymorph in this dataset, meV per atom: 161
Final energy, hartree per atom: -0.10872

Lattice parameters (Å, degrees): 5.074 5.074 4.074 90.00 90.00 90.00
Last column: magnetic moment on the atom in μB.
Positions (direct):
P (0.500, 0.000, 0.000)  0.28
P (0.000, 0.500, 0.000)  0.28
Ag (0.500, 0.500, 0.500)  0.03
Cd (0.000, 0.000, 0.000)  0.02
O (0.000, 0.000, 0.500)  0.42

***

7.
The following is a DFT calculation (PBE) of a geometry-optimized Rb2AsSe3 structure.

Results
Raw formation energy, eV/atom: -0.689
Energy above the most stable polymorph in this dataset, meV per atom: 57
Final energy, hartree per atom: -0.12967

Lattice parameters (Å, degrees): 7.689 8.586 8.586 119.61 90.00 90.00
Positions (direct):
Se (0.532, 0.214, 0.475)
Se (0.286, 0.998, 0.998)
Se (0.532, 0.475, 0.214)
Se (0.786, 0.002, 0.002)
Se (0.032, 0.786, 0.525)
Se (0.032, 0.525, 0.786)
Rb (0.038, 0.111, 0.393)
Rb (0.038, 0.393, 0.111)
Rb (0.538, 0.889, 0.607)
Rb (0.538, 0.607, 0.889)
As (0.033, 0.807, 0.807)
As (0.533, 0.193, 0.193)

***

8.
The following is a DFT calculation (PBE) of a geometry-optimized Cs3CeAg2F9 structure.

Results
Raw formation energy, eV/atom: -2.637
Final energy, hartree per atom: -0.17297

Lattice parameters (Å, degrees): 6.629 6.629 8.449 90.00 90.00 120.00
Last column: magnetic moment on the atom in μB.
Positions (direct):
Cs (0.333, 0.667, 0.730)  0.00
Cs (0.667, 0.333, 0.270)  0.00
Cs (0.000, 0.000, 0.000)  0.00
Ag (0.333, 0.667, 0.165)  -0.01
Ag (0.667, 0.333, 0.835)  -0.01
Ce (0.000, 0.000, 0.500)  0.15
F (0.154, 0.846, 0.346)  0.00
F (0.500, 0.500, 0.000)  0.00
F (0.691, 0.846, 0.346)  0.00
F (0.309, 0.154, 0.654)  0.00
F (0.000, 0.500, 0.000)  0.00
F (0.154, 0.309, 0.346)  0.00
F (0.500, 0.000, 0.000)  0.00
F (0.846, 0.154, 0.654)  0.00
F (0.846, 0.691, 0.654)  0.00

***

9.
The following is a DFT calculation (PBE) of a geometry-optimized Ac2Pd12Pt5 structure.

Results
Final energy, hartree per atom: -0.20915
E_form, meV per atom: -390

Lattice parameters (Å, degrees): 7.043 7.043 7.043 82.51 82.51 82.51
Positions (direct):
Pd (0.651, 0.155, 0.651)
Pd (0.651, 0.651, 0.155)
Pd (0.295, 0.705, 0.000)
Pd (0.845, 0.349, 0.349)
Pd (0.705, 0.295, 0.000)
Pd (0.349, 0.349, 0.845)
Pd (0.000, 0.295, 0.705)
Pd (0.000, 0.705, 0.295)
Pd (0.349, 0.845, 0.349)
Pd (0.705, 0.000, 0.295)
Pd (0.295, 0.000, 0.705)
Pd (0.155, 0.651, 0.651)
Pt (0.000, 0.500, 0.000)
Pt (0.500, 0.000, 0.000)
Pt (0.103, 0.103, 0.103)
Pt (0.897, 0.897, 0.897)
Pt (0.000, 0.000, 0.500)
Ac (0.335, 0.335, 0.335)
Ac (0.665, 0.665, 0.665)

***

10.
The following is a DFT calculation (PBE) of a geometry-optimized Zr3CrTe6 structure.

Results
Raw formation energy, eV/atom: -0.558
Final energy, hartree per atom: -0.21940

Lattice parameters (Å, degrees): 8.262 8.262 8.262 87.16 87.16 87.16
Last column: magnetic moment on the atom in μB.
Positions (direct):
Zr (0.197, 0.591, 0.063)  0.09
Zr (0.803, 0.409, 0.937)  0.09
Zr (0.409, 0.937, 0.803)  0.09
Zr (0.063, 0.197, 0.591)  0.09
Zr (0.591, 0.063, 0.197)  0.09
Zr (0.937, 0.803, 0.409)  0.09
Te (0.525, 0.411, 0.181)  -0.05
Te (0.853, 0.704, 0.093)  -0.03
Te (0.819, 0.475, 0.589)  -0.05
Te (0.475, 0.589, 0.819)  -0.05
Te (0.093, 0.853, 0.704)  -0.03
Te (0.907, 0.147, 0.296)  -0.03
Te (0.411, 0.181, 0.525)  -0.05
Te (0.296, 0.907, 0.147)  -0.03
Te (0.704, 0.093, 0.853)  -0.03
Te (0.589, 0.819, 0.475)  -0.05
Te (0.147, 0.296, 0.907)  -0.03
Te (0.181, 0.525, 0.411)  -0.05
Cr (0.000, 0.000, 0.000)  3.40
Cr (0.500, 0.500, 0.500)  3.22

***

11.
The following is a DFT calculation (PBE) of a geometry-optimized Ti6SiH structure.

Results
Final energy, hartree per atom: -0.25918

Lattice parameters (Å, degrees): 5.288 5.286 6.046 64.05 64.06 59.99
Positions (direct):
Ti (0.768, 0.038, 0.784)
Ti (0.590, 0.232, 0.216)
Ti (0.962, 0.590, 0.216)
Ti (0.038, 0.410, 0.784)
Ti (0.410, 0.768, 0.784)
Ti (0.232, 0.962, 0.216)
H (0.000, 0.000, 0.000)
Si (0.500, 0.500, 0.500)

***

12.
The following is a DFT calculation (PBE) of a geometry-optimized CsLiBr2 structure.

Results
Raw formation energy, eV/atom: -1.632
Final energy, hartree per atom: -0.11613

Lattice parameters (Å, degrees): 4.314 4.314 14.525 90.00 90.00 90.00
Positions (direct):
Li (0.000, 0.500, 0.250)
Li (0.500, 0.000, 0.750)
Br (0.500, 0.500, 0.649)
Br (0.000, 0.000, 0.851)
Br (0.000, 0.000, 0.149)
Br (0.500, 0.500, 0.351)
Cs (0.000, 0.000, 0.500)
Cs (0.500, 0.500, 0.000)

***

13.
The following is a DFT calculation (PBE) of a geometry-optimized AcTb8Sm6 structure.

Results
Energy above the most stable polymorph in this dataset, meV per atom: 0
Final energy, hartree per atom: -0.16412
E_form, meV per atom: 165

Lattice parameters (Å, degrees): 9.333 9.333 8.655 57.37 57.37 60.00
Positions (direct):
Tb (0.084, 0.649, 0.493)
Tb (0.225, 0.916, 0.507)
Tb (0.429, 0.429, 0.712)
Tb (0.775, 0.084, 0.493)
Tb (0.571, 0.571, 0.288)
Tb (0.351, 0.225, 0.507)
Tb (0.649, 0.775, 0.493)
Tb (0.916, 0.351, 0.507)
Sm (0.548, 0.106, 0.077)
Sm (0.452, 0.894, 0.923)
Sm (0.731, 0.452, 0.923)
Sm (0.894, 0.731, 0.923)
Sm (0.269, 0.548, 0.077)
Sm (0.106, 0.269, 0.077)
Ac (0.000, 0.000, 0.000)

***

14.
The following is a DFT calculation (PBE) of a geometry-optimized CaP2Os structure.

Results
Energy above the most stable polymorph in this dataset, meV per atom: 756
Final energy, hartree per atom: -0.21527
E_form, meV per atom: 155

Lattice parameters (Å, degrees): 6.646 4.496 3.235 90.14 60.66 124.25
Positions (direct):
P (0.000, 0.000, 0.000)
P (0.500, 0.000, 0.500)
Os (0.500, 0.500, 0.000)
Ca (0.000, 0.500, 0.500)

***

15.
The following is a DFT calculation (PBE) of a geometry-optimized K4PSe3O16 structure.

Results
Raw formation energy, eV/atom: -1.027
Final energy, hartree per atom: -0.19021

Lattice parameters (Å, degrees): 7.612 7.694 7.713 86.60 77.96 85.16
Last column: magnetic moment on the atom in μB.
Positions (direct):
O (0.233, 0.934, 0.454)  0.38
O (0.445, 0.278, 0.694)  0.42
O (0.796, 0.762, 0.630)  0.36
O (0.009, 0.182, 0.113)  0.09
O (0.715, 0.180, 0.831)  0.45
O (0.037, 0.528, 0.741)  0.20
O (0.311, 0.817, 0.119)  0.18
O (0.969, 0.839, 0.895)  0.14
O (0.301, 0.380, 0.056)  0.17
O (0.731, 0.155, 0.507)  0.46
O (0.534, 0.960, 0.731)  0.54
O (0.568, 0.981, 0.236)  0.14
O (0.974, 0.499, 0.261)  0.20
O (0.704, 0.605, 0.957)  0.12
O (0.471, 0.661, 0.388)  0.18
O (0.181, 0.240, 0.387)  0.35
Se (0.115, 0.326, 0.200)  -0.03
Se (0.876, 0.683, 0.812)  -0.03
Se (0.402, 0.848, 0.293)  -0.04
K (0.388, 0.637, 0.786)  0.00
K (0.920, 0.858, 0.271)  0.00
K (0.619, 0.339, 0.203)  0.00
K (0.094, 0.163, 0.744)  0.00
P (0.607, 0.144, 0.691)  -0.04

***

16.
The following is a DFT calculation (PBE) of a geometry-optimized Li4Ac2CdGe3 structure.

Results
Final energy, hartree per atom: -0.12935
E_form, meV per atom: -456

Lattice parameters (Å, degrees): 4.537 4.537 10.599 90.00 90.00 90.00
Positions (direct):
Ac (0.000, 0.500, 0.767)
Ac (0.500, 0.000, 0.233)
Cd (0.500, 0.500, 0.500)
Ge (0.500, 0.000, 0.869)
Ge (0.000, 0.000, 0.500)
Ge (0.000, 0.500, 0.131)
Li (0.000, 0.500, 0.370)
Li (0.500, 0.500, 0.000)
Li (0.500, 0.000, 0.630)
Li (0.000, 0.000, 0.000)

***

17.
The following is a DFT calculation (PBE) of a geometry-optimized Be2AsIrO structure.

Results
Raw formation energy, eV/atom: 0.327
Final energy, hartree per atom: -0.17850

Lattice parameters (Å, degrees): 4.550 3.641 4.550 90.00 90.00 90.00
Positions (direct):
Be (0.000, 0.000, 0.500)
Be (0.500, 0.000, 0.000)
O (0.000, 0.500, 0.000)
As (0.500, 0.500, 0.500)
Ir (0.000, 0.000, 0.000)

***

18.
The following is a DFT calculation (PBE) of a geometry-optimized Ce6Al2Pb structure.

Results
Energy above the most stable polymorph in this dataset, meV per atom: 0
Final energy, hartree per atom: -0.19828
E_form, meV per atom: -196

Lattice parameters (Å, degrees): 3.053 9.048 9.048 120.00 90.00 90.00
Last column: magnetic moment on the atom in μB.
Positions (direct):
Pb (0.000, 0.000, 0.000)  -0.01
Al (0.000, 0.667, 0.333)  -0.01
Al (0.000, 0.333, 0.667)  -0.01
Ce (0.500, 0.651, 0.651)  0.34
Ce (0.500, 0.349, 0.000)  0.34
Ce (0.500, 0.000, 0.651)  0.34
Ce (0.500, 0.349, 0.349)  0.34
Ce (0.500, 0.651, 0.000)  0.34
Ce (0.500, 0.000, 0.349)  0.34

***

19.
The following is a DFT calculation (PBE) of a geometry-optimized Na2HoHg3 structure.

Results
Final energy, hartree per atom: -0.06025
E_form, meV per atom: -286

Lattice parameters (Å, degrees): 5.192 8.210 7.553 90.00 90.00 71.57
Positions (direct):
Na (0.666, 0.669, 0.500)
Na (0.000, 0.000, 0.000)
Na (0.334, 0.331, 0.500)
Na (0.000, 0.000, 0.500)
Hg (0.831, 0.338, 0.763)
Hg (0.500, 0.000, 0.241)
Hg (0.831, 0.338, 0.237)
Hg (0.500, 0.000, 0.759)
Hg (0.169, 0.662, 0.237)
Hg (0.169, 0.662, 0.763)
Ho (0.667, 0.667, 0.000)
Ho (0.333, 0.333, 0.000)

***

20.
The following is a DFT calculation (PBE) of a geometry-optimized BaCd3Cl8 structure.

Results
Raw formation energy, eV/atom: -1.387
Final energy, hartree per atom: -0.11050

Lattice parameters (Å, degrees): 8.293 8.292 7.757 122.32 90.00 120.00
Positions (direct):
Cd (0.500, 0.000, 0.000)
Cd (0.500, 0.500, 0.000)
Cd (0.000, 0.500, 0.000)
Cl (0.746, 0.491, 0.237)
Cl (0.295, 0.031, 0.767)
Cl (0.736, 0.031, 0.767)
Cl (0.264, 0.969, 0.233)
Cl (0.736, 0.472, 0.768)
Cl (0.705, 0.969, 0.233)
Cl (0.264, 0.528, 0.232)
Cl (0.254, 0.509, 0.763)
Ba (0.000, 0.000, 0.000)